1.
# Th2TiTc2N6

Crystalline Th2TiTc2N6 at its relaxed geometry (PBE, the Alexandria database).

Fermi-level density of states ... 5.46 states/eV/f.u.
Space group ... No. 166
ΔE_f (raw) ... -630 meV per atom
Total moment ... 0.00 μB per cell

a b c (Å): 6.5463 6.5463 6.5463
angles (deg): 50.37 50.37 50.37
Last column: nearest neighbours and their distance in Å.
Element x y z (fractional)
1 Th 0.2078 0.2078 0.2078  3 N 2.47
2 Th 0.7922 0.7922 0.7922  3 N 2.47
3 Ti 0.0000 0.0000 0.0000  6 N 2.19
4 Tc 0.3880 0.3880 0.3880  3 N 1.84
5 Tc 0.6120 0.6120 0.6120  3 N 1.84
6 N 0.2171 0.7516 0.7516  1 Tc 1.84
7 N 0.2484 0.2484 0.7829  1 Tc 1.84
8 N 0.2484 0.7829 0.2484  1 Tc 1.84
9 N 0.7516 0.2171 0.7516  1 Tc 1.84
10 N 0.7516 0.7516 0.2171  1 Tc 1.84
11 N 0.7829 0.2484 0.2484  1 Tc 1.84

---

2.
# Tl2BIrI

Crystalline Tl2BIrI at its relaxed geometry (PBE, the Alexandria database).

Fermi-level density of states ... 7.62 states/eV/f.u.
Space group ... No. 123
ΔE_f (raw) ... 1927 meV per atom
Total moment ... 1.87 μB per cell

a b c (Å): 6.3094 6.3094 4.3707
angles (deg): 90.00 90.00 90.00
Last column: nearest neighbours and their distance in Å.
Element x y z (fractional)
1 Tl 0.0000 0.5000 0.0000  2 I 3.15
2 Tl 0.5000 0.0000 0.0000  2 I 3.15
3 B 0.0000 0.0000 0.5000  2 I 2.19
4 Ir 0.5000 0.5000 0.5000  8 Tl 3.84
5 I 0.0000 0.0000 0.0000  2 B 2.19

---

3.
# HfSc4Al

Crystalline HfSc4Al at its relaxed geometry (PBE, the Alexandria database).

Fermi-level density of states ... 8.58 states/eV/f.u.
Space group ... No. 15
Total moment ... 0.00 μB per cell
Excess energy over the best structure of this formula in the dataset ... 0.0 meV/atom

a b c (Å): 5.4908 5.4908 10.7057
angles (deg): 105.32 105.32 59.75
Last column: nearest neighbours and their distance in Å.
Element x y z (fractional)
1 Hf 0.0000 0.5000 0.0000  2 Al 3.11, 10 Sc 3.12-3.24
2 Hf 0.5000 0.0000 0.5000  2 Al 3.11, 10 Sc 3.12-3.24
3 Sc 0.1592 0.6853 0.5056  7 Sc 3.01-3.25, 2 Al 3.07-3.15, 3 Hf 3.12-3.24
4 Sc 0.2486 0.4110 0.7499  7 Sc 3.11-3.24, 2 Hf 3.13-3.14, 3 Al 3.13-3.23
5 Sc 0.3147 0.8408 0.9944  7 Sc 3.01-3.25, 2 Al 3.07-3.15, 3 Hf 3.12-3.24
6 Sc 0.4110 0.2486 0.2499  7 Sc 3.11-3.24, 2 Hf 3.13-3.14, 3 Al 3.13-3.23
7 Sc 0.5890 0.7514 0.7501  7 Sc 3.11-3.24, 2 Hf 3.13-3.14, 3 Al 3.13-3.23
8 Sc 0.6853 0.1592 0.0056  7 Sc 3.01-3.25, 2 Al 3.07-3.15, 3 Hf 3.12-3.24
9 Sc 0.7514 0.5890 0.2501  7 Sc 3.11-3.24, 2 Hf 3.13-3.14, 3 Al 3.13-3.23
10 Sc 0.8408 0.3147 0.4944  7 Sc 3.01-3.25, 2 Al 3.07-3.15, 3 Hf 3.12-3.24
11 Al 0.0911 0.9089 0.2500  10 Sc 3.07-3.23, 2 Hf 3.11
12 Al 0.9089 0.0911 0.7500  10 Sc 3.07-3.23, 2 Hf 3.11

---

4.
# Hf2AuF

Crystalline Hf2AuF at its relaxed geometry (PBE, the Alexandria database).

Fermi-level density of states ... 1.44 states/eV/f.u.
Space group ... No. 122
ΔE_f (raw) ... -617 meV per atom
Total moment ... 0.00 μB per cell
Excess energy over the best structure of this formula in the dataset ... 187.8 meV/atom

a b c (Å): 7.5090 7.5090 7.5090
angles (deg): 140.84 140.84 56.59
Last column: nearest neighbours and their distance in Å.
Element x y z (fractional)
1 Hf 0.0461 0.6250 0.9211  2 F 2.25
2 Hf 0.3750 0.2961 0.4211  2 F 2.25
3 Hf 0.7039 0.1250 0.0789  2 F 2.25
4 Hf 0.8750 0.9539 0.5789  2 F 2.25
5 Au 0.2500 0.7500 0.5000  4 Hf 2.66
6 Au 0.5000 0.5000 0.0000  4 Hf 2.66
7 F 0.0000 0.0000 0.0000  4 Hf 2.25
8 F 0.7500 0.2500 0.5000  4 Hf 2.25

---

5.
# Hf2ZrInN

Crystalline Hf2ZrInN at its relaxed geometry (PBE, the Alexandria database).

Fermi-level density of states ... 2.49 states/eV/f.u.
Space group ... No. 123
ΔE_f (raw) ... -791 meV per atom
Total moment ... 0.00 μB per cell

a b c (Å): 4.3812 4.3812 4.7434
angles (deg): 90.00 90.00 90.00
Last column: nearest neighbours and their distance in Å.
Element x y z (fractional)
1 Hf 0.0000 0.5000 0.0000  2 N 2.19
2 Hf 0.5000 0.0000 0.0000  2 N 2.19
3 Zr 0.0000 0.0000 0.5000  2 N 2.37
4 In 0.5000 0.5000 0.5000  4 Zr 3.10, 8 Hf 3.23
5 N 0.0000 0.0000 0.0000  4 Hf 2.19, 2 Zr 2.37

---

6.
# NaSi2S

Crystalline NaSi2S at its relaxed geometry (PBE, the Alexandria database).

Fermi-level density of states ... 1.64 states/eV/f.u.
Space group ... No. 122
ΔE_f (raw) ... 272 meV per atom
Total moment ... 0.00 μB per cell

a b c (Å): 6.0897 6.0897 6.0897
angles (deg): 100.70 100.70 128.95
Last column: nearest neighbours and their distance in Å.
Element x y z (fractional)
1 Na 0.0000 0.0000 0.0000  2 S 2.62
2 Na 0.7500 0.2500 0.5000  2 S 2.62
3 Si 0.1760 0.1250 0.5510  2 S 2.57, 2 Si 2.74
4 Si 0.3750 0.8240 0.9490  2 S 2.57, 2 Si 2.74
5 Si 0.5740 0.6250 0.4490  2 S 2.57, 2 Si 2.74
6 Si 0.8750 0.4260 0.0510  2 S 2.57, 2 Si 2.74
7 S 0.2500 0.7500 0.5000  4 Si 2.57, 2 Na 2.62
8 S 0.5000 0.5000 0.0000  4 Si 2.57, 2 Na 2.62

---

7.
# NaAc3Pt8

Crystalline NaAc3Pt8 at its relaxed geometry (PBE, the Alexandria database).

Fermi-level density of states ... 9.41 states/eV/f.u.
Space group ... No. 160
Total moment ... 0.00 μB per cell
Uncorrected energy ... -6.10 eV/atom

a b c (Å): 9.7062 9.7062 9.7062
angles (deg): 33.49 33.49 33.49
Last column: nearest neighbours and their distance in Å.
Element x y z (fractional)
1 Na 0.0000 0.0000 0.0000  12 Pt 3.18-3.34, 4 Ac 3.34
2 Ac 0.1217 0.1217 0.1217  12 Pt 3.18-3.47, 1 Na 3.34, 3 Ac 3.52
3 Ac 0.5064 0.5064 0.5064  12 Pt 3.25-3.33, 4 Ac 3.52-3.53
4 Ac 0.6351 0.6351 0.6351  12 Pt 3.15-3.37, 3 Na 3.34
5 Pt 0.0672 0.0672 0.5661  6 Pt 2.79-2.81
6 Pt 0.0672 0.5661 0.0672  6 Pt 2.79-2.81
7 Pt 0.0695 0.5652 0.5652  6 Pt 2.77-2.82
8 Pt 0.3171 0.3171 0.3171  6 Pt 2.78-2.80
9 Pt 0.5652 0.0695 0.5652  6 Pt 2.77-2.82
10 Pt 0.5652 0.5652 0.0695  6 Pt 2.77-2.82
11 Pt 0.5661 0.0672 0.0672  6 Pt 2.79-2.81
12 Pt 0.8167 0.8167 0.8167  6 Pt 2.81

---

8.
# AsCl

Crystalline AsCl at its relaxed geometry (PBE, the Alexandria database).

Fermi-level density of states ... 0.56 states/eV/f.u.
Space group ... No. 74
ΔE_f (raw) ... -1 meV per atom
Total moment ... 0.00 μB per cell

a b c (Å): 7.4378 7.4378 7.4378
angles (deg): 152.58 145.48 44.64
Last column: nearest neighbours and their distance in Å.
Element x y z (fractional)
1 As 0.4338 0.1838 0.2500  2 As 2.53
2 As 0.5662 0.8162 0.7500  2 As 2.53
3 Cl 0.1161 0.3661 0.7500  4 As 2.91
4 Cl 0.8839 0.6339 0.2500  4 As 2.91